# AlCr4

A relaxed AlCr4 crystal (GGA-PBE, Alexandria via LeMat-Bulk).

a = 6.4593 Å, b = 6.4593 Å, c = 2.8913 Å
α = 90.00°, β = 90.00°, γ = 90.00°
With the nearest neighbours (Å) after each atom.
Space group I4/m (No. 87)
One atom of each set of equivalent atoms:
Al1 0.0000 0.0000 0.0000 x2  12 Cr 2.58-2.79, 2 Al 2.89
Cr1 0.1112 0.6878 0.5000 x8  6 Cr 2.44-2.46, 2 Al 2.58

Calculated values
The energy above the most stable polymorph in this dataset comes out at 0.000 eV per atom. The raw total energy is -8.529 eV/atom. The formation enthalpy at 0 K is -7.9 kJ per mole of atoms.

# Al5Cr

A relaxed Al5Cr crystal (GGA-PBE, Alexandria via LeMat-Bulk).

a = 9.9894 Å, b = 2.9591 Å, c = 6.3826 Å
α = 90.00°, β = 104.33°, γ = 90.00°
With the nearest neighbours (Å) after each atom.
Space group Cm (No. 8)
One atom of each set of equivalent atoms:
Al1 0.0000 0.0000 0.0000 x2  2 Cr 2.63, 6 Al 2.71-2.87
Al2 0.0428 0.0000 0.5721 x2  8 Al 2.64-2.87, 2 Cr 2.67
Al3 0.2094 0.5000 0.9216 x2  1 Cr 2.67, 11 Al 2.71-2.96
Al4 0.3145 0.0000 0.6397 x2  6 Al 2.63-2.84, 2 Cr 2.75
Al5 0.3662 0.0000 0.2557 x2  7 Al 2.63-2.78, 3 Cr 2.68-2.80
Cr1 0.1529 0.5000 0.3093 x2  10 Al 2.63-2.80

Calculated values
The raw total energy is -4.752 eV/atom. The formation enthalpy at 0 K is -2.9 kJ per mole of atoms.

Q: Which value of raw total energy does entry 2 give?
A: -4.752 eV/atom

Q: Number 1 is which compound?
A: AlCr4